Here is AcAs2H after structural relaxation from Alexandria. Energies are from GGA-PBE.

Lattice parameters (Å, degrees): 3.849 3.849 5.429 90.00 90.00 90.00
Fractional positions:
Ac 0.000 0.000 0.000
As 0.000 0.500 0.500
As 0.500 0.000 0.500
H 0.500 0.500 0.000

Summary:
- Total magnetization: 0.000 μB per formula unit
- Excess energy over the best structure of this formula in the dataset: 0.00 eV/f.u.
- Final energy: -0.352 Ry per atom

---

Here is RbTlIn2Bi2 after structural relaxation from Alexandria. Energies are from GGA-PBE.

Lattice parameters (Å, degrees): 5.513 5.513 8.326 90.00 90.00 120.00
Fractional positions:
Rb 0.000 0.000 0.000
Tl 0.000 0.000 0.500
In 0.333 0.667 0.347
In 0.667 0.333 0.653
Bi 0.333 0.667 0.720
Bi 0.667 0.333 0.280

Summary:
- Total magnetization: 0.000 μB per formula unit
- ΔE_f: -0.16 eV per atom
- Final energy: -0.214 Ry per atom

---

Here is LiHg2BiH after structural relaxation from Alexandria. Energies are from GGA-PBE.

Lattice parameters (Å, degrees): 5.472 5.472 3.520 90.00 90.00 90.00
Fractional positions:
Li 0.000 0.000 0.000
Hg 0.000 0.500 0.500
Hg 0.500 0.000 0.500
Bi 0.500 0.500 0.000
H 0.000 0.000 0.500

Summary:
- Total magnetization: 0.000 μB per formula unit
- Final energy: -0.143 Ry per atom

---

Here is ScNbP after structural relaxation from Alexandria. Energies are from GGA-PBE.

Lattice parameters (Å, degrees): 7.216 7.216 4.604 90.00 90.00 90.00
Fractional positions:
Sc 0.046 0.732 0.000
Sc 0.268 0.046 0.500
Sc 0.732 0.954 0.500
Sc 0.954 0.268 0.000
Nb 0.326 0.418 0.000
Nb 0.418 0.674 0.500
Nb 0.582 0.326 0.500
Nb 0.674 0.582 0.000
P 0.204 0.398 0.500
P 0.398 0.796 0.000
P 0.602 0.204 0.000
P 0.796 0.602 0.500

Summary:
- Total magnetization: 0.000 μB per formula unit
- ΔE_f: -0.59 eV per atom
- Final energy: -0.577 Ry per atom

---

Here is InB2F8 after structural relaxation from Alexandria. Energies are from GGA-PBE.

Lattice parameters (Å, degrees): 5.598 5.598 5.677 106.95 106.95 57.73
Fractional positions:
In 0.000 0.000 0.000
B 0.202 0.202 0.689
B 0.798 0.798 0.311
F 0.072 0.652 0.235
F 0.165 0.165 0.424
F 0.348 0.928 0.765
F 0.352 0.352 0.800
F 0.648 0.648 0.200
F 0.652 0.072 0.235
F 0.835 0.835 0.576
F 0.928 0.348 0.765

Summary:
- Uncorrected formation energy: -2575 meV per atom
- Total magnetization: 0.797 μB per formula unit
- Final energy: -0.397 Ry per atom

---

Here is BaRe2Os after structural relaxation from Alexandria. Energies are from GGA-PBE.

Lattice parameters (Å, degrees): 10.511 10.511 10.511 15.87 15.87 15.87
Fractional positions:
Ba 0.000 0.000 0.000
Re 0.234 0.234 0.234
Re 0.766 0.766 0.766
Os 0.500 0.500 0.500

Summary:
- Total magnetization: 0.000 μB per formula unit
- ΔE_f: 1.05 eV per atom
- Excess energy over the best structure of this formula in the dataset: 0.97 eV/f.u.
- Final energy: -0.622 Ry per atom